Record 1
# Dy5GaPd2 GGA-PBE optimized geometry
data_Dy5GaPd2
_space_group_name_H-M_alt 'P 1'
_space_group_IT_number 1
_cell_length_a 7.761
_cell_length_b 7.761
_cell_length_c 8.597
_cell_angle_alpha 116.83
_cell_angle_beta 116.83
_cell_angle_gamma 90.00
loop_
_space_group_symop_operation_xyz
'x,y,z'
loop_
_atom_site_label
_atom_site_type_symbol
_atom_site_fract_x
_atom_site_fract_y
_atom_site_fract_z
Dy1 Dy 0.516 0.695 0.711
Dy2 Dy 0.000 0.000 0.000
Dy3 Dy 0.195 0.016 0.711
Dy4 Dy 0.305 0.805 0.289
Dy5 Dy 0.500 0.500 0.000
Dy6 Dy 0.484 0.305 0.289
Dy7 Dy 0.695 0.195 0.711
Dy8 Dy 0.805 0.984 0.289
Dy9 Dy 0.016 0.516 0.711
Dy10 Dy 0.984 0.484 0.289
Pd1 Pd 0.133 0.367 0.000
Pd2 Pd 0.367 0.867 0.000
Pd3 Pd 0.633 0.133 0.000
Pd4 Pd 0.867 0.633 0.000
Ga1 Ga 0.250 0.250 0.500
Ga2 Ga 0.750 0.750 0.500
# * magnetization: 0.001 μB per atom
# * V: 199 Å³/f.u.
# * DFT total energy: -82.57 eV/cell


Record 2
# Y3Ho5Ru2 GGA-PBE optimized geometry
data_Y3Ho5Ru2
_space_group_name_H-M_alt 'P 1'
_space_group_IT_number 1
_cell_length_a 8.037
_cell_length_b 9.769
_cell_length_c 9.769
_cell_angle_alpha 61.36
_cell_angle_beta 65.71
_cell_angle_gamma 65.71
loop_
_space_group_symop_operation_xyz
'x,y,z'
loop_
_atom_site_label
_atom_site_type_symbol
_atom_site_fract_x
_atom_site_fract_y
_atom_site_fract_z
Ho1 Ho 0.750 0.500 0.500
Ho2 Ho 0.002 0.748 0.748
Ho3 Ho 0.250 0.500 0.500
Ho4 Ho 0.376 0.855 0.392
Ho5 Ho 0.124 0.608 0.145
Ho6 Ho 0.502 0.748 0.748
Ho7 Ho 0.998 0.252 0.252
Ho8 Ho 0.624 0.145 0.608
Ho9 Ho 0.876 0.392 0.855
Ho10 Ho 0.498 0.252 0.252
Ru1 Ru 0.868 0.136 0.128
Ru2 Ru 0.632 0.872 0.864
Ru3 Ru 0.132 0.864 0.872
Ru4 Ru 0.368 0.128 0.136
Y1 Y 0.873 0.860 0.393
Y2 Y 0.373 0.393 0.860
Y3 Y 0.750 0.000 0.000
Y4 Y 0.250 0.000 0.000
Y5 Y 0.127 0.140 0.607
Y6 Y 0.627 0.607 0.140
# * magnetization: 0.000 μB per atom
# * V: 296 Å³/f.u.
# * DFT total energy: -123.76 eV/cell


Record 3
# SmNpP2O8 GGA-PBE optimized geometry
data_SmNpP2O8
_space_group_name_H-M_alt 'P 1'
_space_group_IT_number 1
_cell_length_a 5.312
_cell_length_b 5.312
_cell_length_c 7.263
_cell_angle_alpha 90.00
_cell_angle_beta 90.00
_cell_angle_gamma 120.00
loop_
_space_group_symop_operation_xyz
'x,y,z'
loop_
_atom_site_label
_atom_site_type_symbol
_atom_site_fract_x
_atom_site_fract_y
_atom_site_fract_z
O1 O 0.333 0.667 0.013
O2 O 0.349 0.175 0.272
O3 O 0.826 0.651 0.272
O4 O 0.667 0.333 0.987
O5 O 0.825 0.174 0.272
O6 O 0.651 0.825 0.728
O7 O 0.174 0.349 0.728
O8 O 0.175 0.826 0.728
P1 P 0.667 0.333 0.197
P2 P 0.333 0.667 0.803
Sm1 Sm 0.000 0.000 0.500
Np1 Np 0.000 0.000 0.000
# * magnetization: 0.333 μB per atom
# * V: 177 Å³/f.u.
# * DFT total energy: -100.41 eV/cell


Record 4
# Sm2Mn2Ga2Fe13C GGA-PBE optimized geometry
data_Sm2Mn2Ga2Fe13C
_space_group_name_H-M_alt 'P 1'
_space_group_IT_number 1
_cell_length_a 6.474
_cell_length_b 6.474
_cell_length_c 6.468
_cell_angle_alpha 82.90
_cell_angle_beta 82.90
_cell_angle_gamma 82.86
loop_
_space_group_symop_operation_xyz
'x,y,z'
loop_
_atom_site_label
_atom_site_type_symbol
_atom_site_fract_x
_atom_site_fract_y
_atom_site_fract_z
Sm1 Sm 0.656 0.656 0.644
Sm2 Sm 0.344 0.344 0.356
Mn1 Mn 0.500 0.000 0.000
Mn2 Mn 0.000 0.500 0.000
Fe1 Fe 0.344 0.344 0.852
Fe2 Fe 0.000 0.000 0.500
Fe3 Fe 0.285 0.715 0.000
Fe4 Fe 0.299 0.001 0.704
Fe5 Fe 0.715 0.285 0.000
Fe6 Fe 0.001 0.299 0.704
Fe7 Fe 0.845 0.339 0.341
Fe8 Fe 0.661 0.155 0.659
Fe9 Fe 0.155 0.661 0.659
Fe10 Fe 0.339 0.845 0.341
Fe11 Fe 0.701 0.999 0.296
Fe12 Fe 0.656 0.656 0.148
Fe13 Fe 0.999 0.701 0.296
Ga1 Ga 0.896 0.896 0.898
Ga2 Ga 0.104 0.104 0.102
C1 C 0.500 0.500 0.000
# * magnetization: 1.368 μB per atom
# * V: 265 Å³/f.u.
# * DFT total energy: -153.61 eV/cell